(1)
The following is a GGA-PBEsol calculation of NaCaH3 after structural relaxation, from Alexandria via LeMat-Bulk.

Crystal system: trigonal
Calculated total energy: -15.124 eV/f.u.
D(E_F): 0.00 states/eV per cell
Total moment: 0.00 μB per formula unit

```
NaCaH3
1.0
5.777 0.000 0.000
2.888 5.003 0.000
2.888 1.668 4.910
Ca H Na
2 6 2
Cartesian
8.665 5.003 0.064 Ca
5.777 3.335 2.519 Ca
4.990 5.227 3.400 H
6.563 1.892 0.945 H
4.531 1.708 3.400 H
4.134 3.376 0.945 H
6.633 4.738 0.945 H
7.808 3.070 3.400 H
2.888 1.668 1.687 Na
8.665 5.003 4.142 Na
```

(2)
The following is a GGA-PBEsol calculation of NaCaSiHO4 after structural relaxation, from Alexandria via LeMat-Bulk.

Crystal system: monoclinic
Calculated total energy: -53.304 eV/f.u.
D(E_F): 0.00 states/eV per cell
Total moment: 0.00 μB per formula unit

```
NaCaSiHO4
1.0
-3.682 -3.416 1.958
2.791 -1.665 -4.391
4.875 -2.857 4.182
O Na Ca Si H
8 2 2 2 2
Cartesian
1.449 -2.003 -2.480 O
0.574 -4.787 2.548 O
2.412 -5.867 4.151 O
2.752 -5.901 1.493 O
3.310 -3.091 -0.909 O
1.124 -1.974 0.165 O
2.936 -3.541 2.877 O
0.928 -4.328 -1.229 O
-0.481 -3.291 1.105 Na
4.331 -4.570 0.531 Na
1.151 -6.235 6.064 Ca
5.146 -3.059 -2.330 Ca
2.235 -5.003 2.758 Si
1.682 -2.896 -1.066 Si
0.158 -5.559 1.884 H
6.228 -3.788 1.928 H
```

> Which of these has the highest calculated total energy?

NaCaH3